Record 1
First-principles (GGA-PBEsol) data for a geometry-optimized BaN2O2 structure, as listed in Alexandria via LeMat-Bulk.

Cell: 5.561 5.561 4.527 Å, 90.00 90.00 90.00°
Fractional positions:
1 Ba 0.000 0.000 0.000
2 N 0.000 0.500 0.000
3 N 0.500 0.000 0.000
4 O 0.000 0.000 0.500
5 O 0.500 0.500 0.500

## Properties
- Symmetry: P4/mmm

---

Record 2
First-principles (GGA-PBEsol) data for a geometry-optimized Ba6Os2N6O structure, as listed in Alexandria via LeMat-Bulk.

Cell: 7.345 7.345 7.345 Å, 66.38 66.38 66.38°
Fractional positions:
1 Ba 0.184 0.333 0.738
2 Ba 0.262 0.816 0.667
3 Ba 0.333 0.738 0.184
4 Ba 0.667 0.262 0.816
5 Ba 0.738 0.184 0.333
6 Ba 0.816 0.667 0.262
7 Os 0.250 0.250 0.250
8 Os 0.750 0.750 0.750
9 N 0.028 0.244 0.481
10 N 0.244 0.481 0.028
11 N 0.481 0.028 0.244
12 N 0.519 0.972 0.756
13 N 0.756 0.519 0.972
14 N 0.972 0.756 0.519
15 O 0.500 0.500 0.500

## Properties
- Symmetry: R-3

---

Record 3
First-principles (GGA-PBEsol) data for a geometry-optimized BaPNO2 structure, as listed in Alexandria via LeMat-Bulk.

Cell: 4.025 4.025 3.471 Å, 90.00 90.00 90.00°
Fractional positions:
1 Ba 0.000 0.000 0.000
2 P 0.500 0.500 0.500
3 N 0.500 0.500 0.000
4 O 0.000 0.500 0.500
5 O 0.500 0.000 0.500

## Properties
- Symmetry: P4/mmm

---

Total magnetization (computed, μB per cell): 7.2, 1.8, 0.0
Calculated density (computed, g/cm3): 2.3, 6.8, 6.3
Formation energy from raw total energies (computed, eV/f.u.): 9.707, -12.382, -6.133